A PBEsol-optimized structure of NbSeO2F. Source: the Alexandria database, functional SCAN.

Geometry as CIF:
```
data_NbSeO2F
_chemical_formula_sum 'Nb1 Se1 O2 F1'
_symmetry_space_group_name_H-M 'P 1'
_symmetry_Int_Tables_number 1
_cell_length_a 3.905
_cell_length_b 3.905
_cell_length_c 4.461
_cell_angle_alpha 90.00
_cell_angle_beta 90.00
_cell_angle_gamma 90.00
loop_
_symmetry_equiv_pos_as_xyz
'x,y,z'
loop_
_atom_site_label
_atom_site_fract_x
_atom_site_fract_y
_atom_site_fract_z
_atom_site_occupancy
O1 0.000 0.500 0.000 1
F1 0.000 0.000 0.500 1
Nb1 0.500 0.500 0.500 1
Se1 0.000 0.000 0.000 1
O2 0.500 0.000 0.000 1
```

Results
Raw total energy: -69.99 eV/cell
D(E_F): 0.3706 states/eV/atom
Spin magnetization: 3.28 μB per cell
ΔE_f (raw): -15.09 kJ per mole of atoms
ρ: 5.44 Mg/m³